[1]
VASP calculation (PBE-GGA) on a geometry-optimized LiMn2Rh structure.

The total energy is -27.0 eV/f.u.

Cell lengths 2.838, 2.838, 6.651 Å; angles 90.00, 90.00, 90.00 degrees
Space group P4mm (No. 99)
Symmetry-distinct sites (fractional):
Li: 0.000 0.000 0.000 [1 per cell]
Mn: 0.000 0.000 0.521 [1 per cell]
Mn: 0.500 0.500 0.279 [1 per cell]
Rh: 0.500 0.500 0.745 [1 per cell]

=====

[2]
VASP calculation (PBE-GGA) on a geometry-optimized LiMn2Rh structure.

The total energy is -26.6 eV/f.u.

Cell lengths 2.7995, 2.7995, 26.8010 Å; angles 90.00, 90.00, 120.00 degrees
Space group R-3m (No. 166, hexagonal axes)
Symmetry-distinct sites (fractional):
Li: 0.0000 0.0000 0.0000 [3 per cell]
Mn: 0.0000 0.0000 0.2456 [6 per cell]
Rh: 0.0000 0.0000 0.5000 [3 per cell]

=====

[3]
VASP calculation (PBE-GGA) on a geometry-optimized LiMn2Rh structure.

The total energy is -27.0 eV/f.u.

Cell lengths 2.881, 4.389, 8.440 Å; angles 90.00, 90.00, 90.00 degrees
Space group Cmm2 (No. 35)
Symmetry-distinct sites (fractional):
Li: 0.000 0.000 0.000 [2 per cell]
Mn: 0.000 0.000 0.496 [2 per cell]
Mn: 0.000 0.500 0.273 [2 per cell]
Rh: 0.000 0.500 0.744 [2 per cell]

=====

[4]
VASP calculation (PBE-GGA) on a geometry-optimized LiMnRh2 structure.

The total energy is -25.1 eV/f.u.

Cell lengths 2.813, 4.587, 8.937 Å; angles 90.00, 90.00, 90.00 degrees
Space group Cmm2 (No. 35)
Symmetry-distinct sites (fractional):
Li: 0.000 0.000 0.000 [2 per cell]
Mn: 0.000 0.500 0.266 [2 per cell]
Rh: 0.000 0.000 0.497 [2 per cell]
Rh: 0.000 0.500 0.759 [2 per cell]

=====

[5]
VASP calculation (PBE-GGA) on a geometry-optimized LiMnRh2 structure.

The total energy is -26.1 eV/f.u.

Cell lengths 2.7983, 2.7983, 24.9851 Å; angles 90.00, 90.00, 120.00 degrees
Space group R-3m (No. 166, hexagonal axes)
Symmetry-distinct sites (fractional):
Li: 0.0000 0.0000 0.0000 [3 per cell]
Mn: 0.0000 0.0000 0.5000 [3 per cell]
Rh: 0.0000 0.0000 0.2463 [6 per cell]

=====

[6]
VASP calculation (PBE-GGA) on a geometry-optimized LiMn2Rh structure.

The total energy is -26.9 eV/f.u.

Cell lengths 2.577, 3.907, 4.647 Å; angles 90.00, 90.11, 90.00 degrees
Space group P2/m (No. 10)
Symmetry-distinct sites (fractional):
Li: 0.000 0.000 0.000 [1 per cell]
Mn: 0.500 0.500 0.218 [2 per cell]
Rh: 0.000 0.000 0.500 [1 per cell]

=====

[7]
VASP calculation (PBE-GGA) on a geometry-optimized LiMn2Rh structure.

The total energy is -27.0 eV/f.u.

Cell lengths 4.271, 4.271, 6.017 Å; angles 90.00, 90.00, 90.00 degrees
Space group I-4m2 (No. 119)
Symmetry-distinct sites (fractional):
Li: 0.000 0.000 0.000 [2 per cell]
Mn: 0.000 0.000 0.500 [2 per cell]
Mn: 0.000 0.500 0.250 [2 per cell]
Rh: 0.000 0.500 0.750 [2 per cell]

=====

[8]
VASP calculation (PBE-GGA) on a geometry-optimized LiMnRh2 structure.

The total energy is -25.9 eV/f.u.

Cell lengths 2.907, 4.197, 4.531 Å; angles 90.00, 90.00, 90.00 degrees
Space group Pmmm (No. 47)
Symmetry-distinct sites (fractional):
Li: 0.000 0.000 0.000 [1 per cell]
Mn: 0.500 0.000 0.500 [1 per cell]
Rh: 0.000 0.500 0.500 [1 per cell]
Rh: 0.500 0.500 0.000 [1 per cell]

=====

[9]
VASP calculation (PBE-GGA) on a geometry-optimized LiMn2Rh structure.

The total energy is -25.9 eV/f.u.

Cell lengths 6.810, 6.810, 5.218 Å; angles 90.00, 90.00, 90.00 degrees
Space group I-42d (No. 122)
Symmetry-distinct sites (fractional):
Li: 0.000 0.000 0.000 [4 per cell]
Mn: 0.249 0.250 0.125 [8 per cell]
Rh: 0.000 0.000 0.500 [4 per cell]

=====

[10]
VASP calculation (PBE-GGA) on a geometry-optimized LiMnRh2 structure.

The total energy is -25.9 eV/f.u.

Cell lengths 2.686, 4.110, 4.975 Å; angles 90.00, 105.63, 90.00 degrees
Space group Pm (No. 6)
Symmetry-distinct sites (fractional):
Li: 0.000 0.000 0.000 [1 per cell]
Mn: 0.147 0.500 0.283 [1 per cell]
Rh: 0.405 0.500 0.805 [1 per cell]
Rh: 0.748 0.000 0.490 [1 per cell]

=====

[11]
VASP calculation (PBE-GGA) on a geometry-optimized Li2MnRh6 structure.

The total energy is -56.8 eV/f.u.

Cell lengths 4.621, 7.991, 6.694 Å; angles 90.00, 90.00, 90.00 degrees
Space group C222 (No. 21)
Symmetry-distinct sites (fractional):
Li: 0.250 0.250 0.169 [4 per cell]
Mn: 0.000 0.000 0.500 [2 per cell]
Rh: 0.000 0.328 0.500 [4 per cell]
Rh: 0.243 0.084 0.833 [8 per cell]

=====

[12]
VASP calculation (PBE-GGA) on a geometry-optimized LiMnRh2 structure.

The total energy is -25.6 eV/f.u.

Cell lengths 3.087, 3.087, 5.655 Å; angles 90.00, 90.00, 90.00 degrees
Space group P4mm (No. 99)
Symmetry-distinct sites (fractional):
Li: 0.000 0.000 0.000 [1 per cell]
Mn: 0.500 0.500 0.250 [1 per cell]
Rh: 0.000 0.000 0.491 [1 per cell]
Rh: 0.500 0.500 0.787 [1 per cell]